# 1
A plane-wave DFT calculation with SCAN was carried out for a PBEsol-optimized structure of FeRuPt.

Summary:
formation energy from the elements = -0.057 eV/atom
N(E_F) = 2.62 states/eV per cell

Lattice parameters (Å, degrees): 2.6595 2.6595 5.8189 103.21 103.21 90.00
Site moments in Bohr magnetons follow the coordinates.
Element x y z (fractional)
Fe 0.0068 0.0068 0.0137  2.75
Pt 0.3380 0.3380 0.6760  0.03
Ru 0.6552 0.6552 0.3103  -0.54

# 2
A plane-wave DFT calculation with SCAN was carried out for a PBEsol-optimized structure of Y2Tc.

Summary:
formation energy from the elements = -0.019 eV/atom
N(E_F) = 6.50 states/eV per cell
energy above the most stable polymorph in this dataset = 0.029 eV/atom

Lattice parameters (Å, degrees): 5.7281 5.7427 5.7427 75.60 60.08 60.08
Element x y z (fractional)
Y 0.1727 0.5000 0.1547
Y 0.6727 0.1547 0.5000
Y 0.3273 0.8453 0.5000
Y 0.8273 0.5000 0.8453
Tc 0.2500 0.0000 0.0000
Tc 0.7500 0.0000 0.0000

# 3
A plane-wave DFT calculation with SCAN was carried out for a PBEsol-optimized structure of Mg2OsF.

Summary:
N(E_F) = 1.79 states/eV per cell
E_tot = -21.382 eV/atom

Lattice parameters (Å, degrees): 4.4650 4.4650 4.4650 60.00 60.00 60.00
Site moments in Bohr magnetons follow the coordinates.
Element x y z (fractional)
Mg 0.2500 0.2500 0.2500  0.00
Mg 0.7500 0.7500 0.7500  0.00
Os 0.5000 0.5000 0.5000  1.37
F 0.0000 0.0000 0.0000  0.12